A geometry-optimized LaPm2Nd5Sc structure, computed with PBE.

a = 5.461 Å, b = 22.125 Å, c = 10.332 Å
α = 90.00°, β = 90.00°, γ = 90.00°
Space group Cmc2_1 (No. 36)
Asymmetric unit:
1 La 0.000 0.102 0.000 [4 per cell]
2 Pm 0.000 0.383 0.753 [4 per cell]
3 Pm 0.000 0.384 0.247 [4 per cell]
4 Nd 0.000 0.000 0.250 [4 per cell]
5 Nd 0.000 0.126 0.499 [4 per cell]
6 Nd 0.000 0.222 0.809 [4 per cell]
7 Nd 0.000 0.224 0.188 [4 per cell]
8 Nd 0.000 0.498 0.000 [4 per cell]
9 Sc 0.000 0.285 0.499 [4 per cell]

Calculated volume = 34.68 Å³ per atom
Raw total energy = -4.830 eV/atom